Here is a relaxed KRuCl4 crystal from Alexandria via LeMat-Bulk. Energies are from PBE-GGA.

Cell and atoms, written as POSCAR:
```
KRuCl4
1.0
-0.390 3.098 2.024
-5.096 -2.352 6.039
6.011 -3.023 9.208
K Ru Cl
2 2 8
Cartesian
-2.612 -0.196 8.349
3.137 -2.080 8.922
-2.743 0.373 4.031
3.006 -1.511 4.604
4.530 -1.442 11.633
1.354 0.379 8.233
-0.991 -2.638 12.400
2.168 -3.875 11.482
1.516 0.362 4.870
-4.005 -0.835 5.637
-0.829 -2.655 9.037
-1.643 1.598 5.789
```

ρ = 2.94 g cm⁻³
Magnetic moment = 2.00 Bohr magnetons per cell
Polymorph energy (0 for the lowest one) = 33.2 meV/atom
Energy relative to the elements, uncorrected = -942 meV/atom

Here is a relaxed KRu2Cl crystal from Alexandria via LeMat-Bulk. Energies are from PBE-GGA.

Cell and atoms, written as POSCAR:
```
KRu2Cl
1.0
-2.676 0.009 1.331
0.710 -2.519 1.444
3.229 4.612 6.458
Ru K Cl
2 1 1
Cartesian
0.249 0.356 0.499
1.365 1.949 2.730
1.438 2.204 6.231
-0.176 -0.102 3.002
```

ρ = 6.00 g cm⁻³
Magnetic moment = 2.11 Bohr magnetons per cell
Polymorph energy (0 for the lowest one) = 1103.5 meV/atom
Energy relative to the elements, uncorrected = 1232 meV/atom

Here is a relaxed KRu2Cl crystal from Alexandria via LeMat-Bulk. Energies are from PBE-GGA.

Cell and atoms, written as POSCAR:
```
KRu2Cl
1.0
4.855 0.000 0.000
0.000 4.855 0.000
2.427 2.427 8.209
Ru K Cl
4 2 2
Cartesian
2.425 1.214 2.052
2.430 3.641 2.052
3.641 4.857 6.156
6.068 4.852 6.156
0.000 0.000 0.000
4.855 2.427 4.104
2.427 2.427 0.000
2.427 4.855 4.104
```

ρ = 4.75 g cm⁻³
Magnetic moment = 0.20 Bohr magnetons per cell
Polymorph energy (0 for the lowest one) = 597.5 meV/atom
Energy relative to the elements, uncorrected = 726 meV/atom

Here is a relaxed KRu2Cl crystal from Alexandria via LeMat-Bulk. Energies are from PBE-GGA.

Cell and atoms, written as POSCAR:
```
KRu2Cl
1.0
-1.691 2.099 -1.214
-1.005 -2.760 0.332
-3.436 2.307 8.774
Ru K Cl
2 1 1
Cartesian
-0.164 0.110 0.418
-1.554 1.044 3.969
-3.925 1.399 6.140
-2.207 0.246 1.753
```

ρ = 6.32 g cm⁻³
Magnetic moment = 0.00 Bohr magnetons per cell
Polymorph energy (0 for the lowest one) = 958.8 meV/atom
Energy relative to the elements, uncorrected = 1087 meV/atom

Q: Which value of energy relative to the elements, uncorrected does entry 3 give?
A: 726 meV/atom